1.
Entry from Alexandria: a relaxed KZr2W crystal (GGA-PBE).

Cell lengths 6.604, 10.034, 2.732 Å; angles 90.00, 90.00, 90.00 degrees
Space group Cmmm (No. 65)
Asymmetric unit:
K  0.000  0.000  0.000 [2 per cell]
Zr  0.250  0.250  0.500 [4 per cell]
W  0.000  0.500  0.000 [2 per cell]

Results
E_form in eV per atom: 1.1045

---

2.
Entry from Alexandria: a relaxed K3ZrW crystal (GGA-PBE).

Cell lengths 6.044, 6.044, 6.044 Å; angles 90.00, 90.00, 90.00 degrees
Space group Pm-3m (No. 221)
Asymmetric unit:
K  0.000  0.000  0.500 [3 per cell]
Zr  0.500  0.500  0.500 [1 per cell]
W  0.000  0.000  0.000 [1 per cell]

Results
E_form in eV per atom: 2.6052

---

3.
Entry from Alexandria: a relaxed KZr2W crystal (GGA-PBE).

Cell lengths 10.114, 3.018, 7.638 Å; angles 90.00, 91.95, 90.00 degrees
Space group Cm (No. 8)
Asymmetric unit:
K  0.000  0.000  0.000 [2 per cell]
Zr  0.002  0.500  0.539 [2 per cell]
Zr  0.262  0.500  0.360 [2 per cell]
W  0.241  0.000  0.657 [2 per cell]

Results
E_form in eV per atom: 0.8718

---

4.
Entry from Alexandria: a relaxed KZr2W crystal (GGA-PBE).

Cell lengths 3.364, 3.364, 10.121 Å; angles 90.00, 90.00, 90.00 degrees
Space group P4/mmm (No. 123)
Asymmetric unit:
K  0.000  0.000  0.000 [1 per cell]
Zr  0.500  0.500  0.346 [2 per cell]
W  0.000  0.000  0.500 [1 per cell]

Results
E_form in eV per atom: 0.3682